Here is LiSbMoO5 after structural relaxation from Alexandria. Energies are from PBE+U.

Values from the calculation:
- energy (eV/atom) = -6.29
- magnetization (μB/cell) = 4.00
- SG = C2/c (15)

a = 5.7791 Å, b = 5.7791 Å, c = 7.5363 Å
α = 109.29°, β = 109.29°, γ = 96.65°
Positions (direct):
Li  0.0467  0.9533  0.7500
Li  0.9533  0.0467  0.2500
Sb  0.0000  0.5000  0.0000
Sb  0.5000  0.0000  0.5000
Mo  0.3961  0.6039  0.7500
Mo  0.6039  0.3961  0.2500
O  0.1174  0.6654  0.8397
O  0.1846  0.8154  0.2500
O  0.2870  0.3267  0.0201
O  0.3267  0.2870  0.5201
O  0.3346  0.8826  0.6603
O  0.6654  0.1174  0.3397
O  0.6733  0.7130  0.4799
O  0.7130  0.6733  0.9799
O  0.8154  0.1846  0.7500
O  0.8826  0.3346  0.1603